Here is a relaxed structure of Na2LaErCl8 from the Alexandria database. Energies are from GGA-PBE.

Structure (POSCAR):
```
Na2LaErCl8
1.0
6.555 0.000 0.000
0.000 8.430 0.000
-0.397 0.000 6.587
Na La Er Cl
2 1 1 8
Direct
0.000 0.242 0.000
0.000 0.758 0.000
0.500 0.500 0.500
0.500 0.000 0.500
0.200 0.500 0.196
0.214 0.000 0.211
0.311 0.235 0.683
0.311 0.765 0.683
0.689 0.235 0.317
0.689 0.765 0.317
0.786 0.000 0.789
0.800 0.500 0.804
```

Properties
The total energy is -4.39 eV/atom. For the energy relative to the elements, uncorrected, the calculation gives -2.15 eV/atom.

***

Here is a relaxed structure of SrYRe2 from the Alexandria database. Energies are from GGA-PBE.

Structure (POSCAR):
```
SrYRe2
1.0
5.878 0.000 0.000
0.000 10.050 0.000
-0.831 0.000 2.762
Sr Y Re
2 2 4
Direct
0.000 0.000 0.000
0.500 0.500 0.000
0.000 0.500 0.000
0.500 0.000 0.000
0.250 0.250 0.500
0.250 0.750 0.500
0.750 0.250 0.500
0.750 0.750 0.500
```

Properties
The total energy is -7.25 eV/atom. For the formation energy, the calculation gives 1.010 eV per atom.

***

Here is a relaxed structure of GeTeIrPt2 from the Alexandria database. Energies are from GGA-PBE.

Structure (POSCAR):
```
GeTeIrPt2
1.0
5.011 0.000 0.000
0.000 5.011 0.000
0.000 0.000 4.588
Ge Te Ir Pt
1 1 1 2
Direct
0.000 0.000 0.000
0.500 0.500 0.000
0.000 0.000 0.500
0.000 0.500 0.500
0.500 0.000 0.500
```

Properties
The total energy is -4.98 eV/atom. For the energy relative to the elements, uncorrected, the calculation gives 0.76 eV/atom.

***

Here is a relaxed structure of Ti6GaNi5 from the Alexandria database. Energies are from GGA-PBE.

Structure (POSCAR):
```
Ti6GaNi5
1.0
4.326 0.000 0.000
-0.129 6.332 0.000
-2.065 -3.133 6.152
Ti Ga Ni
6 1 5
Direct
0.028 0.283 0.043
0.323 0.572 0.634
0.367 0.102 0.666
0.633 0.898 0.334
0.677 0.428 0.366
0.972 0.717 0.957
0.500 0.000 0.000
0.102 0.110 0.308
0.105 0.700 0.328
0.500 0.500 0.000
0.895 0.300 0.672
0.898 0.890 0.692
```

Properties
The total energy is -6.99 eV/atom. For the formation energy, the calculation gives -0.381 eV per atom.

***

Here is a relaxed structure of SrAl2TeO6 from the Alexandria database. Energies are from GGA-PBE.

Structure (POSCAR):
```
SrAl2TeO6
1.0
5.276 -4.888 0.000
5.276 4.888 0.000
-1.688 0.000 5.551
Sr Al Te O
2 4 2 12
Direct
0.162 0.838 0.750
0.838 0.162 0.250
0.122 0.307 0.798
0.307 0.122 0.298
0.693 0.878 0.702
0.878 0.693 0.202
0.373 0.627 0.250
0.627 0.373 0.750
0.125 0.644 0.330
0.151 0.180 0.036
0.180 0.151 0.536
0.242 0.524 0.890
0.356 0.875 0.170
0.476 0.758 0.610
0.524 0.242 0.390
0.644 0.125 0.830
0.758 0.476 0.110
0.820 0.849 0.464
0.849 0.820 0.964
0.875 0.356 0.670
```

Properties
The total energy is -6.67 eV/atom. For the energy relative to the elements, uncorrected, the calculation gives -2.46 eV/atom.

***

Here is a relaxed structure of Tl3Cd2Hg7 from the Alexandria database. Energies are from GGA-PBE.

Structure (POSCAR):
```
Tl3Cd2Hg7
1.0
3.101 1.790 10.068
-3.101 1.790 10.068
0.000 -3.580 10.068
Tl Cd Hg
3 2 7
Direct
0.000 0.000 0.000
0.144 0.144 0.144
0.856 0.856 0.856
0.335 0.335 0.335
0.665 0.665 0.665
0.077 0.588 0.588
0.412 0.412 0.923
0.412 0.923 0.412
0.500 0.500 0.500
0.588 0.077 0.588
0.588 0.588 0.077
0.923 0.412 0.412
```

Properties
The total energy is -0.88 eV/atom. For the formation energy, the calculation gives 0.043 eV per atom.

***

Here is a relaxed structure of Ac5Pr5Nd from the Alexandria database. Energies are from GGA-PBE.

Structure (POSCAR):
```
Ac5Pr5Nd
1.0
6.642 0.000 0.000
-3.321 5.752 0.000
0.000 0.000 12.287
Ac Pr Nd
5 5 1
Direct
0.000 0.000 0.243
0.000 0.000 0.757
0.338 0.169 0.000
0.831 0.169 0.000
0.831 0.662 0.000
0.000 0.000 0.500
0.333 0.667 0.171
0.333 0.667 0.829
0.667 0.333 0.343
0.667 0.333 0.657
0.333 0.667 0.500
```

Properties
The total energy is -4.05 eV/atom. For the formation energy, the calculation gives 0.425 eV per atom.

***

Here is a relaxed structure of HRuCl3 from the Alexandria database. Energies are from GGA-PBE.

Structure (POSCAR):
```
HRuCl3
1.0
4.389 0.000 0.000
0.000 4.389 0.000
0.000 0.000 4.389
H Ru Cl
1 1 3
Direct
0.000 0.000 0.000
0.500 0.500 0.500
0.000 0.000 0.500
0.000 0.500 0.000
0.500 0.000 0.000
```

Properties
The total energy is -2.78 eV/atom.

***

Here is a relaxed structure of BaBiP2Cl from the Alexandria database. Energies are from GGA-PBE.

Structure (POSCAR):
```
BaBiP2Cl
1.0
5.291 0.000 0.000
0.000 5.291 0.000
0.000 0.000 5.588
Ba Bi P Cl
1 1 2 1
Direct
0.000 0.000 0.000
0.500 0.500 0.500
0.000 0.500 0.500
0.500 0.000 0.500
0.500 0.500 0.000
```

Properties
The total energy is -4.01 eV/atom. For the energy relative to the elements, uncorrected, the calculation gives -0.31 eV/atom.

***

Here is a relaxed structure of Cu2Ru from the Alexandria database. Energies are from GGA-PBE.

Structure (POSCAR):
```
Cu2Ru
1.0
7.397 0.000 0.000
-3.698 6.406 0.000
0.000 0.000 2.485
Cu Ru
6 3
Direct
0.000 0.309 0.000
0.000 0.640 0.500
0.309 0.000 0.000
0.360 0.360 0.500
0.640 0.000 0.500
0.691 0.691 0.000
0.000 0.000 0.500
0.333 0.667 0.000
0.667 0.333 0.000
```

Properties
The total energy is -5.44 eV/atom. For the formation energy, the calculation gives 0.384 eV per atom.

***

Here is a relaxed structure of Cs2HfAuSe4 from the Alexandria database. Energies are from GGA-PBE.

Structure (POSCAR):
```
Cs2HfAuSe4
1.0
0.000 7.385 13.284
3.118 0.000 13.284
3.118 7.385 0.000
Cs Hf Au Se
4 2 2 8
Direct
0.054 0.054 0.696
0.304 0.304 0.946
0.696 0.696 0.054
0.946 0.946 0.304
0.125 0.125 0.125
0.875 0.875 0.875
0.375 0.375 0.375
0.625 0.625 0.625
0.042 0.317 0.404
0.263 0.596 0.683
0.317 0.042 0.737
0.404 0.737 0.042
0.596 0.263 0.958
0.683 0.958 0.263
0.737 0.404 0.317
0.958 0.683 0.596
```

Properties
The total energy is -4.61 eV/atom. For the energy relative to the elements, uncorrected, the calculation gives -1.00 eV/atom.

***

Here is a relaxed structure of Lu2BePb from the Alexandria database. Energies are from GGA-PBE.

Structure (POSCAR):
```
Lu2BePb
1.0
3.371 0.000 0.000
0.000 3.371 0.000
0.000 0.000 8.049
Lu Be Pb
2 1 1
Direct
0.000 0.000 0.203
0.000 0.000 0.797
0.500 0.500 0.000
0.500 0.500 0.500
```

Properties
The total energy is -4.24 eV/atom. For the formation energy, the calculation gives -0.123 eV per atom.